## w
Here is a relaxed structure of Cu2Ni3Pt4 from the Alexandria database. Energies are from PBE.

Cell and atoms, written as POSCAR:
```
Cu2Ni3Pt4
1.0
-2.123 -1.367 -0.921
0.625 -0.088 2.612
-11.606 15.801 3.310
Ni Cu Pt
3 2 4
Direct
0.000 0.000 0.981
0.000 0.000 0.318
0.667 0.333 0.660
0.667 0.333 0.882
0.667 0.333 0.080
0.667 0.333 0.209
0.667 0.333 0.426
0.000 0.000 0.769
0.000 0.000 0.552
```

Values from the calculation:
- M_tot: 2.141 μB per formula unit
- Space-group type: P3m1, No. 156

***

## x
Here is a relaxed structure of Cu2Ni3Pt4 from the Alexandria database. Energies are from PBE.

Cell and atoms, written as POSCAR:
```
Cu2Ni3Pt4
1.0
2.589 0.000 -0.670
-0.262 6.256 -1.011
0.567 0.104 7.525
Pt Cu Ni
4 2 3
Direct
0.453 0.302 0.906
0.547 0.698 0.094
0.277 0.327 0.554
0.723 0.673 0.446
0.661 0.050 0.323
0.339 0.950 0.677
0.106 0.371 0.213
0.894 0.629 0.787
0.000 0.000 0.000
```

Values from the calculation:
- M_tot: 2.195 μB per formula unit
- Space-group type: C2/m, No. 12

***

Tell me which of them is the least stable. Sure, it is w.

***

## w
Here is a relaxed structure of Cu6Ni2Pt from the Alexandria database. Energies are from PBE.

Cell and atoms, written as POSCAR:
```
Cu6Ni2Pt
1.0
-2.738 4.010 4.586
2.544 -0.408 5.844
2.162 6.010 0.005
Cu Ni Pt
12 4 2
Direct
0.796 0.264 0.974
0.365 0.329 0.114
0.204 0.736 0.026
0.525 0.439 0.680
0.704 0.026 0.736
0.475 0.561 0.320
0.135 0.886 0.671
0.635 0.671 0.886
0.975 0.320 0.561
0.865 0.114 0.329
0.296 0.974 0.264
0.025 0.680 0.439
0.582 0.794 0.529
0.918 0.471 0.206
0.418 0.206 0.471
0.082 0.529 0.794
0.250 0.113 0.887
0.750 0.887 0.113
```

Values from the calculation:
- M_tot: 0.187 μB per formula unit
- Space-group type: C2/c, No. 15

***

## x
Here is a relaxed structure of Cu6Ni2Pt from the Alexandria database. Energies are from PBE.

Cell and atoms, written as POSCAR:
```
Cu6Ni2Pt
1.0
-7.006 4.369 0.820
1.449 -7.044 0.625
4.378 -3.132 4.809
Ni Pt Cu
4 2 12
Direct
0.135 0.419 0.201
0.865 0.581 0.799
0.365 0.799 0.581
0.635 0.201 0.419
0.750 0.086 0.914
0.250 0.914 0.086
0.804 0.865 0.814
0.041 0.150 0.576
0.065 0.418 0.739
0.935 0.582 0.261
0.435 0.261 0.582
0.304 0.814 0.865
0.565 0.739 0.418
0.196 0.135 0.186
0.959 0.850 0.424
0.459 0.424 0.850
0.696 0.186 0.135
0.541 0.576 0.150
```

Values from the calculation:
- M_tot: 0.000 μB per formula unit
- Space-group type: C2/c, No. 15

***

Tell me which of them is the least stable. Sure, it is x.

***

## w
Here is a relaxed structure of Cu4NiPt3 from the Alexandria database. Energies are from PBE.

Cell and atoms, written as POSCAR:
```
Cu4NiPt3
1.0
-2.882 2.236 1.790
-0.956 -2.196 1.203
8.478 1.825 6.760
Pt Cu Ni
3 4 1
Direct
0.217 0.213 0.434
0.783 0.787 0.566
0.000 0.500 0.000
0.101 0.112 0.202
0.344 0.342 0.689
0.656 0.658 0.311
0.899 0.888 0.798
0.500 0.000 0.000
```

Values from the calculation:
- M_tot: 0.397 μB per formula unit
- Space-group type: C2/m, No. 12

***

## x
Here is a relaxed structure of Cu4NiPt3 from the Alexandria database. Energies are from PBE.

Cell and atoms, written as POSCAR:
```
Cu4NiPt3
1.0
-2.167 2.928 -0.506
1.367 0.394 -3.571
-5.075 -6.158 -0.544
Pt Cu Ni
3 4 1
Direct
0.872 0.872 0.744
0.128 0.128 0.256
0.000 0.500 0.000
0.629 0.629 0.258
0.371 0.371 0.742
0.751 0.251 0.502
0.249 0.749 0.498
0.500 0.000 0.000
```

Values from the calculation:
- M_tot: 0.957 μB per formula unit
- Space-group type: C2/m, No. 12

***

Tell me which of them is the least stable. Sure, it is w.

***

## w
Here is a relaxed structure of TaCuNiPt from the Alexandria database. Energies are from PBE.

Cell and atoms, written as POSCAR:
```
TaCuNiPt
1.0
-0.999 -3.087 -2.863
2.894 -1.201 -2.985
1.890 -3.884 0.258
Cu Ni Pt Ta
1 1 1 1
Direct
0.750 0.750 0.750
0.500 0.500 0.500
0.000 0.000 0.000
0.250 0.250 0.250
```

Values from the calculation:
- M_tot: 0.000 μB per formula unit
- Space-group type: F-43m, No. 216

***

## x
Here is a relaxed structure of TaCuNiPt from the Alexandria database. Energies are from PBE.

Cell and atoms, written as POSCAR:
```
TaCuNiPt
1.0
3.828 0.002 0.000
0.002 3.828 0.000
-1.915 -1.915 3.822
Cu Pt Ni Ta
1 1 1 1
Direct
0.250 0.750 0.500
0.500 0.500 0.000
0.000 0.000 0.000
0.750 0.250 0.500
```

Values from the calculation:
- M_tot: 0.000 μB per formula unit
- Space-group type: I-4m2, No. 119

***

Tell me which of them is the least stable. Sure, it is w.

***

## w
Here is a relaxed structure of PuCuNi from the Alexandria database. Energies are from PBE.

Cell and atoms, written as POSCAR:
```
PuCuNi
1.0
3.277 0.000 0.000
0.000 3.277 0.000
-1.638 -1.638 8.117
Cu Ni Pu
2 2 2
Direct
0.000 0.500 0.000
0.500 0.000 0.000
0.886 0.886 0.772
0.114 0.114 0.228
0.715 0.715 0.431
0.285 0.285 0.569
```

Values from the calculation:
- M_tot: 0.000 μB per formula unit
- Space-group type: I4/mmm, No. 139

***

## x
Here is a relaxed structure of PuCuNi from the Alexandria database. Energies are from PBE.

Cell and atoms, written as POSCAR:
```
PuCuNi
1.0
-0.900 -2.753 1.763
3.906 -0.254 1.597
-2.962 2.253 2.006
Ni Pu Cu
1 1 1
Direct
0.167 0.000 0.000
0.667 0.333 0.667
0.167 0.667 0.333
```

Values from the calculation:
- M_tot: 5.209 μB per formula unit
- Space-group type: P-6m2, No. 187

***

Tell me which of them is the least stable. Sure, it is w.

***

## w
Here is a relaxed structure of PuCuNi from the Alexandria database. Energies are from PBE.

Cell and atoms, written as POSCAR:
```
PuCuNi
1.0
3.071 0.000 0.000
0.000 3.071 0.000
-1.536 -1.536 5.156
Cu Pu Ni
1 1 1
Direct
0.645 0.645 0.291
0.942 0.942 0.885
0.262 0.262 0.525
```

Values from the calculation:
- M_tot: 5.069 μB per formula unit
- Space-group type: I4mm, No. 107

***

## x
Here is a relaxed structure of PuCuNi from the Alexandria database. Energies are from PBE.

Cell and atoms, written as POSCAR:
```
PuCuNi
1.0
4.386 0.000 2.463
1.534 4.263 2.404
0.005 0.080 5.129
Pu Cu Ni
2 2 2
Direct
0.129 0.621 0.621
0.871 0.379 0.379
0.500 0.000 0.000
0.000 0.000 0.000
0.500 0.500 0.000
0.500 0.000 0.500
```

Values from the calculation:
- M_tot: 5.832 μB per formula unit
- Space-group type: Imma, No. 74

***

Tell me which of them is the least stable. Sure, it is w.